1.
The following is a PBE calculation of a relaxed structure of CaSeBr2Cl, from Alexandria via LeMat-Bulk.

Cell: 5.4497 5.4497 4.9980 Å, 90.00 90.00 90.00°
Site moments in Bohr magnetons follow the coordinates.
Fractional positions:
Ca 0.5000 0.5000 0.5000  0.00
Se 0.0000 0.0000 0.5000  -0.01
Br 0.0000 0.5000 0.0000  0.16
Br 0.5000 0.0000 0.0000  0.16
Cl 0.0000 0.0000 0.0000  0.25

The raw formation energy comes out at -329 meV per atom. The relative energy among the computed polymorphs comes out at 145 meV per atom.

---

2.
The following is a PBE calculation of a relaxed structure of ZrPaAs2, from Alexandria via LeMat-Bulk.

Cell: 3.8938 3.8938 7.3019 Å, 74.54 74.54 60.00°
Site moments in Bohr magnetons follow the coordinates.
Fractional positions:
Zr 0.4957 0.4957 0.5129  -0.02
Pa 0.6704 0.6704 0.9887  0.66
As 0.0883 0.0883 0.7351  -0.01
As 0.2456 0.2456 0.2632  -0.01

The formation energy is -0.98 eV/atom. The relative energy among the computed polymorphs comes out at 124 meV per atom.

---

3.
The following is a PBE calculation of a relaxed structure of BaBe2Cd, from Alexandria via LeMat-Bulk.

Cell: 3.4889 3.4889 7.2405 Å, 90.00 90.00 95.92°
Fractional positions:
Be 0.0000 0.0000 0.0931
Be 0.0000 0.0000 0.4069
Ba 0.5000 0.5000 0.7500
Cd 0.5000 0.5000 0.2500

The formation energy is 0.55 eV/atom.

---

4.
The following is a PBE calculation of a relaxed structure of PrRe2N4, from Alexandria via LeMat-Bulk.

Cell: 3.3025 5.2046 10.1237 Å, 90.00 90.00 108.50°
Fractional positions:
Pr 0.6252 0.2505 0.7500
Pr 0.3748 0.7495 0.2500
Re 0.1139 0.2279 0.4379
Re 0.8861 0.7721 0.9379
Re 0.1139 0.2279 0.0621
Re 0.8861 0.7721 0.5621
N 0.7556 0.5112 0.0998
N 0.7556 0.5112 0.4002
N 0.2444 0.4888 0.9002
N 0.2444 0.4888 0.5998
N 0.9269 0.8539 0.7500
N 0.0731 0.1461 0.2500
N 0.5000 0.0000 0.0000
N 0.5000 0.0000 0.5000

The raw formation energy comes out at -350 meV per atom.

---

Number 1: DFT total energy -2.465 eV per atom. Number 2: DFT total energy -7.816 eV per atom. Number 3: DFT total energy -2.024 eV per atom. Number 4: DFT total energy -9.347 eV per atom.